Record 1
Er2PuZr3N6, relaxed, DFT PBE; raw formation energy = -1.686 eV per atom; N(E_F) = 8.226 states/eV/cell
1.0
3.336 0.000 0.000
0.000 6.704 0.211
-1.668 -1.963 7.034
Pu Zr Er N
1 3 2 6
direct
0.500 0.000 0.000
0.832 0.167 0.665
0.500 0.500 0.000
0.168 0.833 0.335
0.167 0.335 0.335
0.833 0.665 0.665
0.671 0.077 0.341
0.336 0.409 0.671
0.003 0.741 0.006
0.997 0.259 0.994
0.664 0.591 0.329
0.329 0.923 0.659

=====

Record 2
RbEr2N, relaxed, DFT PBE; raw formation energy = -0.513 eV per atom; N(E_F) = 3.581 states/eV/cell
1.0
-2.838 -0.827 -1.899
0.298 -2.162 -2.753
-2.599 -9.033 4.571
Er Rb N
2 1 1
direct
0.124 0.124 0.628
0.876 0.876 0.372
0.000 0.000 0.000
0.500 0.500 0.500

=====

Record 3
Rb2ErRe2N6, relaxed, DFT PBE; raw formation energy = -0.366 eV per atom; N(E_F) = 4.320 states/eV/cell
1.0
-3.056 -5.557 -0.168
6.305 0.175 -0.687
-2.490 1.165 6.755
N Rb Er Re
6 2 1 2
direct
0.780 0.033 0.286
0.220 0.967 0.714
0.253 0.506 0.287
0.747 0.967 0.714
0.253 0.033 0.286
0.747 0.494 0.713
0.725 0.449 0.175
0.275 0.551 0.825
0.500 0.000 0.500
0.928 0.857 0.785
0.072 0.143 0.215

=====

Record 4
ErRe2N4, relaxed, DFT PBE; E above lowest polymorph = 262.4 meV per atom; raw formation energy = -0.167 eV per atom; N(E_F) = 2.178 states/eV/cell
1.0
5.405 -0.063 0.000
-2.658 4.707 0.000
-1.374 -2.322 4.684
Re N Er
2 4 1
direct
0.750 0.250 0.500
0.250 0.750 0.500
0.384 0.176 0.560
0.824 0.384 0.208
0.176 0.616 0.792
0.616 0.824 0.440
0.500 0.500 0.000

=====

Record 5
Er2Re2N5, relaxed, DFT PBE; raw formation energy = -0.707 eV per atom; N(E_F) = 2.227 states/eV/cell
1.0
3.734 0.000 1.135
0.778 5.347 4.151
-0.066 1.257 6.926
N Er Re
5 2 2
direct
0.804 0.619 0.774
0.588 0.219 0.606
0.196 0.381 0.226
0.000 0.000 0.000
0.412 0.781 0.394
0.372 0.328 0.929
0.628 0.672 0.071
0.082 0.255 0.581
0.918 0.745 0.419

=====

Record 6
ErReN4, relaxed, DFT PBE; raw formation energy = -0.060 eV per atom; N(E_F) = 4.838 states/eV/cell
1.0
4.809 -0.092 0.000
-0.475 4.786 0.000
0.000 0.000 7.446
Re N Er
2 8 2
direct
0.111 0.111 0.250
0.889 0.889 0.750
0.862 0.262 0.750
0.285 0.285 0.447
0.738 0.138 0.250
0.285 0.285 0.053
0.262 0.862 0.750
0.715 0.715 0.947
0.715 0.715 0.553
0.138 0.738 0.250
0.606 0.606 0.250
0.394 0.394 0.750